Here is a relaxed structure of Mg4GaAg3 from Alexandria. Energies are from PBE.

Unit cell a=3.3841 b=3.3841 c=12.9991 alpha=90.00 beta=90.00 gamma=90.00
Last column: nearest neighbours and their distance in Å.
Fractional coordinates of all 8 atoms:
Mg  0.0000  0.0000  0.8742  4 Ag 2.89, 4 Ga 2.90
Ag  0.5000  0.5000  0.5000  8 Mg 2.89
Ga  0.5000  0.5000  0.0000  8 Mg 2.90
Mg  0.0000  0.0000  0.3753  8 Ag 2.89
Mg  0.0000  0.0000  0.6247  8 Ag 2.89
Mg  0.0000  0.0000  0.1258  4 Ag 2.89, 4 Ga 2.90
Ag  0.5000  0.5000  0.7500  8 Mg 2.89
Ag  0.5000  0.5000  0.2500  8 Mg 2.89

For the calculated density, the calculation gives 5.47 Mg/m³. The formation energy comes out at -1.8 eV/f.u. The space group is P4/mmm. Its density of states at the Fermi level is 2.4 states/eV per cell.